The following is a DFT calculation (PBE) of an optimized crystal structure of MnFeOs2.

POSCAR file:
```
MnFeOs2
1.0
-3.818 -0.896 1.646
-1.270 -4.044 0.348
-0.289 -1.816 3.835
Os Mn Fe
2 1 1
direct
0.000 0.000 0.000 Os
0.250 0.250 0.250 Os
0.750 0.750 0.750 Mn
0.500 0.500 0.500 Fe
```

Summary:
Magnetization: 1.525 μB/atom
Calculated formation energy: 1.19 eV per formula unit
Space-group type: F-43m (216)
DFT total energy: -38.9 eV per cell
Crystal system: cubic